Entry from the Alexandria database: a relaxed structure of La2Pr3HoS6 (PBE-GGA).

Values from the calculation:
The space-group type is C2/m, No. 12. The value obtained for the total magnetization is 0.00 μB per formula unit. As for the formation energy (no corrections): -2063 meV/atom.

Structure (POSCAR):
```
La2Pr3HoS6
1.0
7.0880 -0.0062 -0.0030
-3.5476 6.1363 -0.0030
-1.1841 -2.0503 6.6614
La Pr Ho S
2 3 1 6
Cartesian
0.0039 4.0852 -0.0030
3.5365 2.0450 -0.0030
-2.3233 4.0621 3.3277
4.6796 0.0177 3.3277
1.1781 2.0399 3.3277
0.0000 0.0000 0.0000
3.4992 2.1125 5.0445
2.4047 4.1637 1.6402
-1.1430 1.9674 1.6109
0.0810 4.0866 5.0445
-0.0484 -0.0838 5.0152
2.2753 -0.0068 1.6109
```


Entry from the Alexandria database: a relaxed structure of Ta2TcPd (PBE-GGA).

Values from the calculation:
The space-group type is I-42d, No. 122. The value obtained for the total magnetization is 0.00 μB per formula unit. The calculation puts the formation energy at 0.348 eV/atom.

Structure (POSCAR):
```
Ta2TcPd
1.0
-6.6015 0.7870 2.5542
-2.5344 -4.0037 -5.3170
-4.2342 -3.9053 0.1891
Tc Pd Ta
2 2 4
Cartesian
-4.5680 -1.6084 -1.3814
-5.6683 -4.7587 -3.2547
0.0000 0.0000 0.0000
-7.7018 -2.3633 0.6809
-5.4423 -0.9919 0.9562
-3.5267 -3.3732 -2.9338
-6.6243 -4.1710 -0.9418
-11.1470 -5.7078 -2.2282
```


Entry from the Alexandria database: a relaxed structure of PmYSi2Pd2 (PBE-GGA).

Values from the calculation:
The space-group type is P-3m1, No. 164. The value obtained for the total magnetization is 0.00 μB per formula unit. As for the formation energy (no corrections): -923 meV/atom.

Structure (POSCAR):
```
PmYSi2Pd2
1.0
4.2075 0.0000 0.0000
-2.1037 3.6438 0.0000
0.0000 0.0000 8.0831
Pm Y Si Pd
1 1 2 2
Cartesian
0.0000 0.0000 0.0000
0.0000 0.0000 4.0415
0.0000 2.4292 2.0388
2.1037 1.2146 6.0443
0.0000 2.4292 5.9584
2.1037 1.2146 2.1247
```


Entry from the Alexandria database: a relaxed structure of DyPuFeRu (PBE-GGA).

Values from the calculation:
The space-group type is F-43m, No. 216. The value obtained for the total magnetization is 2.55 μB per formula unit. The calculation puts the formation energy at -0.092 eV/atom.

Structure (POSCAR):
```
DyPuFeRu
1.0
-3.4832 2.0993 2.5049
-4.3957 0.3342 -1.8386
-3.5534 -2.6263 1.8138
Ru Dy Fe Pu
1 1 1 1
Cartesian
-8.5742 -0.1446 1.8601
0.0000 0.0000 0.0000
-2.8581 -0.0482 0.6200
-5.7161 -0.0964 1.2400
```


Repeat the third record exactly.
Entry from the Alexandria database: a relaxed structure of PmYSi2Pd2 (PBE-GGA).

Values from the calculation:
The space-group type is P-3m1, No. 164. The value obtained for the total magnetization is 0.00 μB per formula unit. As for the formation energy (no corrections): -923 meV/atom.

Structure (POSCAR):
```
PmYSi2Pd2
1.0
4.2075 0.0000 0.0000
-2.1037 3.6438 0.0000
0.0000 0.0000 8.0831
Pm Y Si Pd
1 1 2 2
Cartesian
0.0000 0.0000 0.0000
0.0000 0.0000 4.0415
0.0000 2.4292 2.0388
2.1037 1.2146 6.0443
0.0000 2.4292 5.9584
2.1037 1.2146 2.1247
```